1.
First-principles (meta-GGA SCAN) data for Ni4MoW at its PBEsol-relaxed geometry, as listed in the Alexandria database.

a = 4.643 Å, b = 4.643 Å, c = 4.643 Å
α = 60.00°, β = 60.00°, γ = 60.00°
Sites, in units of the cell vectors:
Ni: 0.375 0.875 0.375
Ni: 0.875 0.375 0.375
Ni: 0.375 0.375 0.875
Ni: 0.375 0.375 0.375
Mo: 0.000 0.000 0.000
W: 0.750 0.750 0.750

Values from the calculation:
SG   F-43m, No. 216
ρ   12.1 g cm⁻³
Energy of formation   19 meV per atom



2.
First-principles (meta-GGA SCAN) data for ZrTi4Pb5O15 at its PBEsol-relaxed geometry, as listed in the Alexandria database.

a = 4.245 Å, b = 5.537 Å, c = 14.122 Å
α = 101.31°, β = 90.00°, γ = 90.00°
Sites, in units of the cell vectors:
Ti: 0.538 0.701 0.402
Ti: 0.536 0.103 0.205
O: 0.079 0.500 0.000
Pb: 0.990 0.000 0.000
O: 0.626 0.597 0.697
Pb: 0.996 0.800 0.599
O: 0.623 0.293 0.106
O: 0.623 0.500 0.500
O: 0.120 0.700 0.401
O: 0.119 0.103 0.207
O: 0.623 0.187 0.894
Ti: 0.536 0.897 0.795
O: 0.626 0.403 0.303
O: 0.623 0.707 0.894
Pb: 0.994 0.397 0.794
O: 0.119 0.897 0.793
O: 0.120 0.300 0.599
Pb: 0.996 0.200 0.401
Pb: 0.994 0.603 0.206
O: 0.626 0.100 0.697
O: 0.623 0.813 0.106
O: 0.623 0.000 0.500
O: 0.626 0.900 0.303
Zr: 0.547 0.500 0.000
Ti: 0.538 0.299 0.598

Values from the calculation:
SG   Cmm2, No. 35
Formation energy (no corrections)   -2544.7 meV/atom
ρ   8.0 g cm⁻³



3.
First-principles (meta-GGA SCAN) data for Rb2Pt2Pb at its PBEsol-relaxed geometry, as listed in the Alexandria database.

a = 3.619 Å, b = 3.619 Å, c = 11.982 Å
α = 98.69°, β = 98.69°, γ = 90.00°
Sites, in units of the cell vectors:
Rb: 0.629 0.629 0.257
Pt: 0.750 0.250 0.500
Pt: 0.250 0.750 0.500
Rb: 0.371 0.371 0.743
Pb: 0.000 0.000 0.000

Values from the calculation:
SG   I4/mmm, No. 139
ρ   8.3 g cm⁻³
Energy of formation   -5 meV per atom



4.
First-principles (meta-GGA SCAN) data for SrCdRe3 at its PBEsol-relaxed geometry, as listed in the Alexandria database.

a = 4.767 Å, b = 4.767 Å, c = 4.767 Å
α = 90.00°, β = 90.00°, γ = 90.00°
Sites, in units of the cell vectors:
Re: 0.000 0.500 0.000
Re: 0.500 0.000 0.000
Re: 0.000 0.000 0.500
Cd: 0.500 0.500 0.500
Sr: 0.000 0.000 0.000

Values from the calculation:
SG   Pm-3m, No. 221
ρ   11.6 g cm⁻³
Energy of formation   3818 meV per atom



5.
First-principles (meta-GGA SCAN) data for Al4Ag3 at its PBEsol-relaxed geometry, as listed in the Alexandria database.

a = 4.035 Å, b = 4.941 Å, c = 6.528 Å
α = 98.55°, β = 86.61°, γ = 117.32°
Sites, in units of the cell vectors:
Al: 0.861 0.215 0.578
Ag: 0.000 0.500 0.000
Al: 0.292 0.072 0.860
Ag: 0.590 0.647 0.711
Ag: 0.410 0.353 0.289
Al: 0.708 0.928 0.140
Al: 0.139 0.785 0.422

Values from the calculation:
SG   P-1, No. 2
ρ   6.3 g cm⁻³
Energy of formation   -34 meV per atom



6.
First-principles (meta-GGA SCAN) data for CrCuP at its PBEsol-relaxed geometry, as listed in the Alexandria database.

a = 3.866 Å, b = 3.866 Å, c = 3.866 Å
α = 60.00°, β = 60.00°, γ = 60.00°
Sites, in units of the cell vectors:
P: 0.500 0.500 0.500
Cr: 0.250 0.250 0.250
Cu: 0.000 0.000 0.000

Values from the calculation:
SG   F-43m, No. 216
ρ   6.0 g cm⁻³
Energy of formation   37 meV per atom



7.
First-principles (meta-GGA SCAN) data for Mo3PtAu at its PBEsol-relaxed geometry, as listed in the Alexandria database.

a = 4.693 Å, b = 4.693 Å, c = 4.693 Å
α = 90.00°, β = 90.00°, γ = 90.00°
Sites, in units of the cell vectors:
Pt: 0.500 0.500 0.500
Mo: 0.500 0.000 0.000
Mo: 0.000 0.500 0.000
Au: 0.000 0.000 0.000
Mo: 0.000 0.000 0.500

Values from the calculation:
SG   Pm-3m, No. 221
ρ   10.9 g cm⁻³
Energy of formation   2311 meV per atom



8.
First-principles (meta-GGA SCAN) data for MgMnSiO2 at its PBEsol-relaxed geometry, as listed in the Alexandria database.

a = 3.609 Å, b = 3.609 Å, c = 4.919 Å
α = 90.00°, β = 90.00°, γ = 90.00°
Sites, in units of the cell vectors:
Si: 0.000 0.000 0.500
Mg: 0.500 0.500 0.500
O: 0.000 0.500 0.000
O: 0.500 0.000 0.000
Mn: 0.000 0.000 0.000

Values from the calculation:
SG   P4/mmm, No. 123
Formation energy (no corrections)   -697.0 meV/atom
ρ   3.6 g cm⁻³



E_tot across the listed records, respectively: -28.1920; -25.2324; -51.5342; -49.3785; -17.9067; -14.6241; -46.4906; -9.8384 eV per atom.